[1]
# PBEsol Mg3CrRe, relaxed
# N(E_F) ... 1.004 states/eV/atom
# VASP energy ... -4.296 eV per atom
# Energy relative to the elements ... 1.449 eV/atom
# Crystal system ... cubic
# Space-group type ... No. 221
data_Mg3CrRe
_cell_length_a 4.9929
_cell_length_b 4.9929
_cell_length_c 4.9929
_cell_angle_alpha 90.00
_cell_angle_beta 90.00
_cell_angle_gamma 90.00
_symmetry_space_group_name_H-M 'P 1'
_symmetry_Int_Tables_number 1
_symmetry_space_group_name_Hall 'P 1'
loop_
_atom_site_label
_atom_site_type_symbol
_atom_site_fract_x
_atom_site_fract_y
_atom_site_fract_z
Mg1 Mg 0.0000 0.0000 0.5000
Mg2 Mg 0.0000 0.5000 0.0000
Mg3 Mg 0.5000 0.0000 0.0000
Cr1 Cr 0.5000 0.5000 0.5000
Re1 Re 0.0000 0.0000 0.0000

***

[2]
# PBEsol Tb2IrAu, relaxed
# N(E_F) ... 0.551 states/eV/atom
# VASP energy ... -6.743 eV per atom
# Energy relative to the elements ... -0.801 eV/atom
# Crystal system ... cubic
# Space-group type ... No. 225
data_Tb2IrAu
_cell_length_a 4.9037
_cell_length_b 4.9037
_cell_length_c 4.9037
_cell_angle_alpha 60.00
_cell_angle_beta 60.00
_cell_angle_gamma 60.00
_symmetry_space_group_name_H-M 'P 1'
_symmetry_Int_Tables_number 1
_symmetry_space_group_name_Hall 'P 1'
loop_
_atom_site_label
_atom_site_type_symbol
_atom_site_fract_x
_atom_site_fract_y
_atom_site_fract_z
Tb1 Tb 0.2500 0.2500 0.2500
Tb2 Tb 0.7500 0.7500 0.7500
Ir1 Ir 0.0000 0.0000 0.0000
Au1 Au 0.5000 0.5000 0.5000

***

[3]
# PBEsol Ti2TlF, relaxed
# Formation energy from raw total energies ... -1.30 eV per formula unit
# N(E_F) ... 1.009 states/eV/atom
# VASP energy ... -5.625 eV per atom
# Crystal system ... cubic
# Space-group type ... No. 225
data_Ti2TlF
_cell_length_a 4.5306
_cell_length_b 4.5306
_cell_length_c 4.5306
_cell_angle_alpha 60.00
_cell_angle_beta 60.00
_cell_angle_gamma 60.00
_symmetry_space_group_name_H-M 'P 1'
_symmetry_Int_Tables_number 1
_symmetry_space_group_name_Hall 'P 1'
loop_
_atom_site_label
_atom_site_type_symbol
_atom_site_fract_x
_atom_site_fract_y
_atom_site_fract_z
Ti1 Ti 0.2500 0.2500 0.2500
Ti2 Ti 0.7500 0.7500 0.7500
Tl1 Tl 0.0000 0.0000 0.0000
F1 F 0.5000 0.5000 0.5000

***

[4]
# PBEsol MoRuAu2, relaxed
# N(E_F) ... 1.047 states/eV/atom
# VASP energy ... -7.195 eV per atom
# Energy relative to the elements ... 0.252 eV/atom
# Excess energy over the best structure of this formula in the dataset ... 53 kJ/mol of formula units
# Crystal system ... monoclinic
# Space-group type ... No. 8
data_MoRuAu2
_cell_length_a 4.8089
_cell_length_b 4.8089
_cell_length_c 4.8922
_cell_angle_alpha 99.43
_cell_angle_beta 99.43
_cell_angle_gamma 33.61
_symmetry_space_group_name_H-M 'P 1'
_symmetry_Int_Tables_number 1
_symmetry_space_group_name_Hall 'P 1'
loop_
_atom_site_label
_atom_site_type_symbol
_atom_site_fract_x
_atom_site_fract_y
_atom_site_fract_z
Mo1 Mo 0.0000 0.0000 0.0000
Ru1 Ru 0.2600 0.2600 0.7916
Au1 Au 0.5085 0.5085 0.5174
Au2 Au 0.7526 0.7526 0.2726

***

[5]
# PBEsol RbAl3Pt, relaxed
# N(E_F) ... 0.921 states/eV/atom
# VASP energy ... -1.835 eV per atom
# Energy relative to the elements ... 2.218 eV/atom
# Crystal system ... cubic
# Space-group type ... No. 221
data_RbAl3Pt
_cell_length_a 5.3188
_cell_length_b 5.3188
_cell_length_c 5.3188
_cell_angle_alpha 90.00
_cell_angle_beta 90.00
_cell_angle_gamma 90.00
_symmetry_space_group_name_H-M 'P 1'
_symmetry_Int_Tables_number 1
_symmetry_space_group_name_Hall 'P 1'
loop_
_atom_site_label
_atom_site_type_symbol
_atom_site_fract_x
_atom_site_fract_y
_atom_site_fract_z
Rb1 Rb 0.0000 0.0000 0.0000
Al1 Al 0.0000 0.0000 0.5000
Al2 Al 0.0000 0.5000 0.0000
Al3 Al 0.5000 0.0000 0.0000
Pt1 Pt 0.5000 0.5000 0.5000

***

[6]
# PBEsol Be2CoCu, relaxed
# N(E_F) ... 0.341 states/eV/atom
# VASP energy ... -5.278 eV per atom
# Energy relative to the elements ... -0.260 eV/atom
# Crystal system ... tetragonal
# Space-group type ... No. 123
data_Be2CoCu
_cell_length_a 3.6527
_cell_length_b 3.6527
_cell_length_c 2.6512
_cell_angle_alpha 90.00
_cell_angle_beta 90.00
_cell_angle_gamma 90.00
_symmetry_space_group_name_H-M 'P 1'
_symmetry_Int_Tables_number 1
_symmetry_space_group_name_Hall 'P 1'
loop_
_atom_site_label
_atom_site_type_symbol
_atom_site_fract_x
_atom_site_fract_y
_atom_site_fract_z
Be1 Be 0.0000 0.5000 0.0000
Be2 Be 0.5000 0.0000 0.0000
Co1 Co 0.0000 0.0000 0.5000
Cu1 Cu 0.5000 0.5000 0.5000

***

[7]
# PBEsol Cd2InHg, relaxed
# N(E_F) ... 0.327 states/eV/atom
# VASP energy ... -1.482 eV per atom
# Energy relative to the elements ... 0.003 eV/atom
# Excess energy over the best structure of this formula in the dataset ... 0 kJ/mol of formula units
# Crystal system ... tetragonal
# Space-group type ... No. 99
data_Cd2InHg
_cell_length_a 3.1878
_cell_length_b 3.1878
_cell_length_c 8.7881
_cell_angle_alpha 90.00
_cell_angle_beta 90.00
_cell_angle_gamma 90.00
_symmetry_space_group_name_H-M 'P 1'
_symmetry_Int_Tables_number 1
_symmetry_space_group_name_Hall 'P 1'
loop_
_atom_site_label
_atom_site_type_symbol
_atom_site_fract_x
_atom_site_fract_y
_atom_site_fract_z
Cd1 Cd 0.0000 0.0000 0.0000
Cd2 Cd 0.5000 0.5000 0.2334
In1 In 0.5000 0.5000 0.7393
Hg1 Hg 0.0000 0.0000 0.4747

***

[8]
# PBEsol MgTa2Cl, relaxed
# Formation energy from raw total energies ... 1.74 eV per formula unit
# N(E_F) ... 0.667 states/eV/atom
# VASP energy ... -6.772 eV per atom
# Excess energy over the best structure of this formula in the dataset ... 68 kJ/mol of formula units
# Crystal system ... tetragonal
# Space-group type ... No. 123
data_MgTa2Cl
_cell_length_a 2.8694
_cell_length_b 2.8694
_cell_length_c 8.2843
_cell_angle_alpha 90.00
_cell_angle_beta 90.00
_cell_angle_gamma 90.00
_symmetry_space_group_name_H-M 'P 1'
_symmetry_Int_Tables_number 1
_symmetry_space_group_name_Hall 'P 1'
loop_
_atom_site_label
_atom_site_type_symbol
_atom_site_fract_x
_atom_site_fract_y
_atom_site_fract_z
Mg1 Mg 0.0000 0.0000 0.0000
Ta1 Ta 0.5000 0.5000 0.2766
Ta2 Ta 0.5000 0.5000 0.7234
Cl1 Cl 0.0000 0.0000 0.5000

***

[9]
# PBEsol RbZnSiIr2, relaxed
# Formation energy from raw total energies ... 4.53 eV per formula unit
# N(E_F) ... 0.734 states/eV/atom
# VASP energy ... -4.694 eV per atom
# Crystal system ... tetragonal
# Space-group type ... No. 123
data_RbZnSiIr2
_cell_length_a 4.4707
_cell_length_b 4.4707
_cell_length_c 5.6270
_cell_angle_alpha 90.00
_cell_angle_beta 90.00
_cell_angle_gamma 90.00
_symmetry_space_group_name_H-M 'P 1'
_symmetry_Int_Tables_number 1
_symmetry_space_group_name_Hall 'P 1'
loop_
_atom_site_label
_atom_site_type_symbol
_atom_site_fract_x
_atom_site_fract_y
_atom_site_fract_z
Rb1 Rb 0.0000 0.0000 0.0000
Zn1 Zn 0.5000 0.5000 0.0000
Si1 Si 0.0000 0.0000 0.5000
Ir1 Ir 0.0000 0.5000 0.5000
Ir2 Ir 0.5000 0.0000 0.5000

***

[10]
# PBEsol Li5OsO6, relaxed
# Formation energy from raw total energies ... -20.60 eV per formula unit
# N(E_F) ... 0.359 states/eV/atom
# VASP energy ... -6.179 eV per atom
# Crystal system ... trigonal
# Space-group type ... No. 151
data_Li5OsO6
_cell_length_a 5.0100
_cell_length_b 5.0100
_cell_length_c 14.0386
_cell_angle_alpha 90.00
_cell_angle_beta 90.00
_cell_angle_gamma 120.00
_symmetry_space_group_name_H-M 'P 1'
_symmetry_Int_Tables_number 1
_symmetry_space_group_name_Hall 'P 1'
loop_
_atom_site_label
_atom_site_type_symbol
_atom_site_fract_x
_atom_site_fract_y
_atom_site_fract_z
Li1 Li 0.0860 0.5430 0.0000
Li2 Li 0.0987 0.1975 0.6667
Li3 Li 0.0987 0.9013 0.3333
Li4 Li 0.1110 0.2220 0.1667
Li5 Li 0.1110 0.8890 0.8333
Li6 Li 0.4436 0.2218 0.5000
Li7 Li 0.4450 0.2225 0.0000
Li8 Li 0.4570 0.5430 0.3333
Li9 Li 0.4570 0.9140 0.6667
Li10 Li 0.7775 0.2225 0.3333
Li11 Li 0.7775 0.5550 0.6667
Li12 Li 0.7782 0.2218 0.8333
Li13 Li 0.7782 0.5564 0.1667
Li14 Li 0.7780 0.8890 0.5000
Li15 Li 0.8025 0.9013 0.0000
Os1 Os 0.1119 0.5559 0.5000
Os2 Os 0.4441 0.5559 0.8333
Os3 Os 0.4441 0.8881 0.1667
O1 O 0.1090 0.2445 0.4212
O2 O 0.1090 0.8646 0.5788
O3 O 0.1354 0.2445 0.9121
O4 O 0.1354 0.8910 0.0879
O5 O 0.1360 0.5539 0.7557
O6 O 0.1360 0.5820 0.2443
O7 O 0.4180 0.5539 0.5776
O8 O 0.4180 0.8640 0.4224
O9 O 0.4453 0.2000 0.2451
O10 O 0.4453 0.2453 0.7549
O11 O 0.4461 0.5820 0.0890
O12 O 0.4461 0.8640 0.9110
O13 O 0.7547 0.2000 0.0883
O14 O 0.7547 0.5547 0.9117
O15 O 0.7555 0.8646 0.7545
O16 O 0.7555 0.8910 0.2455
O17 O 0.8000 0.2453 0.5784
O18 O 0.8000 0.5547 0.4216

***

[11]
# PBEsol SrBr2N, relaxed
# Formation energy from raw total energies ... -1.22 eV per formula unit
# N(E_F) ... 0.000 states/eV/atom
# VASP energy ... -3.833 eV per atom
# Crystal system ... cubic
# Space-group type ... No. 225
data_SrBr2N
_cell_length_a 5.1904
_cell_length_b 5.1904
_cell_length_c 5.1904
_cell_angle_alpha 60.00
_cell_angle_beta 60.00
_cell_angle_gamma 60.00
_symmetry_space_group_name_H-M 'P 1'
_symmetry_Int_Tables_number 1
_symmetry_space_group_name_Hall 'P 1'
loop_
_atom_site_label
_atom_site_type_symbol
_atom_site_fract_x
_atom_site_fract_y
_atom_site_fract_z
Sr1 Sr 0.0000 0.0000 0.0000
Br1 Br 0.2500 0.2500 0.2500
Br2 Br 0.7500 0.7500 0.7500
N1 N 0.5000 0.5000 0.5000

***

[12]
# PBEsol ThGaNi, relaxed
# N(E_F) ... 0.415 states/eV/atom
# VASP energy ... -6.524 eV per atom
# Energy relative to the elements ... -0.656 eV/atom
# Crystal system ... hexagonal
# Space-group type ... No. 189
data_ThGaNi
_cell_length_a 6.9020
_cell_length_b 6.9020
_cell_length_c 4.0237
_cell_angle_alpha 90.00
_cell_angle_beta 90.00
_cell_angle_gamma 120.00
_symmetry_space_group_name_H-M 'P 1'
_symmetry_Int_Tables_number 1
_symmetry_space_group_name_Hall 'P 1'
loop_
_atom_site_label
_atom_site_type_symbol
_atom_site_fract_x
_atom_site_fract_y
_atom_site_fract_z
Th1 Th 0.0000 0.4202 0.0000
Th2 Th 0.4202 0.0000 0.0000
Th3 Th 0.5798 0.5798 0.0000
Ga1 Ga 0.0000 0.7656 0.5000
Ga2 Ga 0.2344 0.2344 0.5000
Ga3 Ga 0.7656 0.0000 0.5000
Ni1 Ni 0.0000 0.0000 0.0000
Ni2 Ni 0.3333 0.6667 0.5000
Ni3 Ni 0.6667 0.3333 0.5000